A plane-wave DFT calculation with PBE-GGA was carried out for Pm2Nd3Dy6Pb after structural relaxation.

- energy (eV per atom) = -4.66
- M_tot (Bohr magnetons per cell) = 0.0
- density (Mg/m³) = 8.243
- V (Å³ per cell) = 767
- formation enthalpy at 0 K (kJ per mole of atoms) = -6

CIF file:
```
data_Pm2Nd3Dy6Pb
_symmetry_space_group_name_H-M 'C 1 2/m 1'
_symmetry_Int_Tables_number 12
_cell_length_a 6.1720
_cell_length_b 10.6930
_cell_length_c 11.8122
_cell_angle_alpha 90.00
_cell_angle_beta 100.11
_cell_angle_gamma 90.00
loop_
_symmetry_equiv_pos_as_xyz
'x,y,z'
'-x,-y,-z'
'-x,y,-z'
'x,-y,z'
'x+1/2,y+1/2,z'
'-x+1/2,-y+1/2,-z'
'-x+1/2,y+1/2,-z'
'x+1/2,-y+1/2,z'
loop_
_atom_site_label
_atom_site_type_symbol
_atom_site_fract_x
_atom_site_fract_y
_atom_site_fract_z
Pm1 Pm 0.0000 0.1660 0.0000
Nd1 Nd 0.0000 0.0000 0.5000
Nd2 Nd 0.0000 0.3319 0.5000
Dy1 Dy 0.2445 0.5000 0.7524
Dy2 Dy 0.2446 0.3368 0.2463
Pb1 Pb 0.0000 0.5000 0.0000
```

***

A plane-wave DFT calculation with PBE-GGA was carried out for KB3P after structural relaxation.

- energy (eV per atom) = -1.79
- M_tot (Bohr magnetons per cell) = 0.3
- density (Mg/m³) = 1.516
- V (Å³ per cell) = 112
- formation enthalpy at 0 K (kJ per mole of atoms) = 340

CIF file:
```
data_KB3P
_symmetry_space_group_name_H-M 'P m -3 m'
_symmetry_Int_Tables_number 221
_symmetry_space_group_name_Hall '-P 4 2 3'
_cell_length_a 4.8245
_cell_length_b 4.8245
_cell_length_c 4.8245
_cell_angle_alpha 90.00
_cell_angle_beta 90.00
_cell_angle_gamma 90.00
loop_
_atom_site_label
_atom_site_type_symbol
_atom_site_fract_x
_atom_site_fract_y
_atom_site_fract_z
K1 K 0.0000 0.0000 0.0000
B1 B 0.0000 0.0000 0.5000
P1 P 0.5000 0.5000 0.5000
```

***

A plane-wave DFT calculation with PBE-GGA was carried out for KCa2HgP after structural relaxation.

- energy (eV per atom) = -1.45
- M_tot (Bohr magnetons per cell) = 0.1
- density (Mg/m³) = 2.902
- V (Å³ per cell) = 201
- formation enthalpy at 0 K (kJ per mole of atoms) = 69

CIF file:
```
data_KCa2HgP
_symmetry_space_group_name_H-M 'P 4/m m m'
_symmetry_Int_Tables_number 123
_symmetry_space_group_name_Hall '-P 4 2'
_cell_length_a 6.1341
_cell_length_b 6.1341
_cell_length_c 5.3358
_cell_angle_alpha 90.00
_cell_angle_beta 90.00
_cell_angle_gamma 90.00
loop_
_atom_site_label
_atom_site_type_symbol
_atom_site_fract_x
_atom_site_fract_y
_atom_site_fract_z
K1 K 0.0000 0.0000 0.0000
Ca1 Ca 0.0000 0.5000 0.0000
Hg1 Hg 0.5000 0.5000 0.5000
P1 P 0.0000 0.0000 0.5000
```

***

A plane-wave DFT calculation with PBE-GGA was carried out for HoIrPt after structural relaxation.

- energy (eV per atom) = -7.00
- M_tot (Bohr magnetons per cell) = 1.3
- density (Mg/m³) = 14.774
- V (Å³ per cell) = 248
- formation enthalpy at 0 K (kJ per mole of atoms) = -49

CIF file:
```
data_HoIrPt
_symmetry_space_group_name_H-M 'I 4/m m m'
_symmetry_Int_Tables_number 139
_symmetry_space_group_name_Hall '-I 4 2'
_cell_length_a 3.5860
_cell_length_b 3.5860
_cell_length_c 19.3062
_cell_angle_alpha 90.00
_cell_angle_beta 90.00
_cell_angle_gamma 90.00
loop_
_atom_site_label
_atom_site_type_symbol
_atom_site_fract_x
_atom_site_fract_y
_atom_site_fract_z
Ho1 Ho 0.0000 0.0000 0.1267
Ir1 Ir 0.0000 0.0000 0.2733
Pt1 Pt 0.0000 0.0000 0.4334
```

***

A plane-wave DFT calculation with PBE-GGA was carried out for CaHN2 after structural relaxation.

- energy (eV per atom) = -4.15
- M_tot (Bohr magnetons per cell) = 11.0
- density (Mg/m³) = 2.556
- V (Å³ per cell) = 180

CIF file:
```
data_CaHN2
_symmetry_space_group_name_H-M 'F m -3 m'
_symmetry_Int_Tables_number 225
_symmetry_space_group_name_Hall '-F 4 2 3'
_cell_length_a 5.6417
_cell_length_b 5.6417
_cell_length_c 5.6417
_cell_angle_alpha 90.00
_cell_angle_beta 90.00
_cell_angle_gamma 90.00
loop_
_atom_site_label
_atom_site_type_symbol
_atom_site_fract_x
_atom_site_fract_y
_atom_site_fract_z
Ca1 Ca 0.0000 0.0000 0.0000
H1 H 0.0000 0.0000 0.5000
N1 N 0.2500 0.2500 0.2500
```

***

A plane-wave DFT calculation with PBE-GGA was carried out for In2BiBrF after structural relaxation.

- energy (eV per atom) = -3.19
- M_tot (Bohr magnetons per cell) = 0.0
- density (Mg/m³) = 5.067
- energy relative to the elements, uncorrected (eV per atom) = -0.6143
- V (Å³ per cell) = 176

CIF file:
```
data_In2BiBrF
_symmetry_space_group_name_H-M 'P 4/m m m'
_symmetry_Int_Tables_number 123
_symmetry_space_group_name_Hall '-P 4 2'
_cell_length_a 6.2070
_cell_length_b 6.2070
_cell_length_c 4.5721
_cell_angle_alpha 90.00
_cell_angle_beta 90.00
_cell_angle_gamma 90.00
loop_
_atom_site_label
_atom_site_type_symbol
_atom_site_fract_x
_atom_site_fract_y
_atom_site_fract_z
In1 In 0.0000 0.5000 0.0000
Bi1 Bi 0.0000 0.0000 0.0000
Br1 Br 0.5000 0.5000 0.5000
F1 F 0.0000 0.0000 0.5000
```

***

A plane-wave DFT calculation with PBE-GGA was carried out for Pm7Ir2Ru2 after structural relaxation.

- energy (eV per atom) = -6.51
- M_tot (Bohr magnetons per cell) = 0.0
- density (Mg/m³) = 8.781
- V (Å³ per cell) = 606
- formation enthalpy at 0 K (kJ per mole of atoms) = -19

CIF file:
```
data_Pm7Ir2Ru2
_symmetry_space_group_name_H-M 'C 1 2/m 1'
_symmetry_Int_Tables_number 12
_cell_length_a 10.9873
_cell_length_b 7.9210
_cell_length_c 7.0113
_cell_angle_alpha 90.00
_cell_angle_beta 96.92
_cell_angle_gamma 90.00
loop_
_symmetry_equiv_pos_as_xyz
'x,y,z'
'-x,-y,-z'
'-x,y,-z'
'x,-y,z'
'x+1/2,y+1/2,z'
'-x+1/2,-y+1/2,-z'
'-x+1/2,y+1/2,-z'
'x+1/2,-y+1/2,z'
loop_
_atom_site_label
_atom_site_type_symbol
_atom_site_fract_x
_atom_site_fract_y
_atom_site_fract_z
Pm1 Pm 0.0000 0.0000 0.0000
Pm2 Pm 0.0202 0.5000 0.2604
Pm3 Pm 0.2266 0.2481 0.7240
Ir1 Ir 0.2097 0.5000 0.9962
Ru1 Ru 0.0000 0.1692 0.5000
```

***

A plane-wave DFT calculation with PBE-GGA was carried out for PuCdSn2 after structural relaxation.

- energy (eV per atom) = -5.93
- M_tot (Bohr magnetons per cell) = 6.1
- density (Mg/m³) = 9.557
- V (Å³ per cell) = 103
- formation enthalpy at 0 K (kJ per mole of atoms) = -11

CIF file:
```
data_PuCdSn2
_symmetry_space_group_name_H-M 'P 4/m m m'
_symmetry_Int_Tables_number 123
_symmetry_space_group_name_Hall '-P 4 2'
_cell_length_a 3.8329
_cell_length_b 3.8329
_cell_length_c 7.0228
_cell_angle_alpha 90.00
_cell_angle_beta 90.00
_cell_angle_gamma 90.00
loop_
_atom_site_label
_atom_site_type_symbol
_atom_site_fract_x
_atom_site_fract_y
_atom_site_fract_z
Pu1 Pu 0.0000 0.0000 0.0000
Cd1 Cd 0.0000 0.0000 0.5000
Sn1 Sn 0.5000 0.5000 0.2781
```

***

A plane-wave DFT calculation with PBE-GGA was carried out for HgSb2As after structural relaxation.

- energy (eV per atom) = -3.25
- M_tot (Bohr magnetons per cell) = 0.0
- density (Mg/m³) = 7.495
- energy relative to the elements, uncorrected (eV per atom) = 0.0448
- V (Å³ per cell) = 230

CIF file:
```
data_HgSb2As
_symmetry_space_group_name_H-M 'P -1'
_symmetry_Int_Tables_number 2
_cell_length_a 4.1503
_cell_length_b 7.6594
_cell_length_c 7.6928
_cell_angle_alpha 78.00
_cell_angle_beta 89.74
_cell_angle_gamma 74.34
loop_
_symmetry_equiv_pos_as_xyz
'x,y,z'
'-x,-y,-z'
loop_
_atom_site_label
_atom_site_type_symbol
_atom_site_fract_x
_atom_site_fract_y
_atom_site_fract_z
Hg1 Hg 0.1752 0.1529 0.0278
Sb1 Sb 0.3031 0.8954 0.4310
Sb2 Sb 0.4412 0.6130 0.7698
As1 As 0.0433 0.4108 0.6679
```

***

A plane-wave DFT calculation with PBE-GGA was carried out for KTcP3 after structural relaxation.

- energy (eV per atom) = -5.33
- M_tot (Bohr magnetons per cell) = 0.0
- density (Mg/m³) = 3.579
- V (Å³ per cell) = 107
- formation enthalpy at 0 K (kJ per mole of atoms) = 20

CIF file:
```
data_KTcP3
_symmetry_space_group_name_H-M 'P m -3 m'
_symmetry_Int_Tables_number 221
_symmetry_space_group_name_Hall '-P 4 2 3'
_cell_length_a 4.7435
_cell_length_b 4.7435
_cell_length_c 4.7435
_cell_angle_alpha 90.00
_cell_angle_beta 90.00
_cell_angle_gamma 90.00
loop_
_atom_site_label
_atom_site_type_symbol
_atom_site_fract_x
_atom_site_fract_y
_atom_site_fract_z
K1 K 0.0000 0.0000 0.0000
Tc1 Tc 0.5000 0.5000 0.5000
P1 P 0.0000 0.5000 0.5000
```

***

A plane-wave DFT calculation with PBE-GGA was carried out for BaCaCr after structural relaxation.

- energy (eV per atom) = -4.01
- M_tot (Bohr magnetons per cell) = 0.9
- density (Mg/m³) = 3.380
- V (Å³ per cell) = 451
- formation enthalpy at 0 K (kJ per mole of atoms) = 48

CIF file:
```
data_BaCaCr
_symmetry_space_group_name_H-M 'C 1 2/m 1'
_symmetry_Int_Tables_number 12
_cell_length_a 23.4071
_cell_length_b 4.6747
_cell_length_c 4.1205
_cell_angle_alpha 90.00
_cell_angle_beta 90.60
_cell_angle_gamma 90.00
loop_
_symmetry_equiv_pos_as_xyz
'x,y,z'
'-x,-y,-z'
'-x,y,-z'
'x,-y,z'
'x+1/2,y+1/2,z'
'-x+1/2,-y+1/2,-z'
'-x+1/2,y+1/2,-z'
'x+1/2,-y+1/2,z'
loop_
_atom_site_label
_atom_site_type_symbol
_atom_site_fract_x
_atom_site_fract_y
_atom_site_fract_z
Ba1 Ba 0.1799 0.0000 0.2308
Ca1 Ca 0.0655 0.5000 0.7736
Cr1 Cr 0.0222 0.0000 0.3203
```

***

A plane-wave DFT calculation with PBE-GGA was carried out for OsRhO2 after structural relaxation.

- energy (eV per atom) = -7.40
- M_tot (Bohr magnetons per cell) = 0.0
- density (Mg/m³) = 12.055
- energy relative to the elements, uncorrected (eV per atom) = -0.2728
- V (Å³ per cell) = 134

CIF file:
```
data_OsRhO2
_symmetry_space_group_name_H-M 'R -3 m'
_symmetry_Int_Tables_number 166
_symmetry_space_group_name_Hall '-R 3 2"'
_cell_length_a 2.7712
_cell_length_b 2.7712
_cell_length_c 20.2036
_cell_angle_alpha 90.00
_cell_angle_beta 90.00
_cell_angle_gamma 120.00
loop_
_atom_site_label
_atom_site_type_symbol
_atom_site_fract_x
_atom_site_fract_y
_atom_site_fract_z
Os1 Os 0.0000 0.0000 0.0000
Rh1 Rh 0.0000 0.0000 0.5000
O1 O 0.0000 0.0000 0.3999
```